[1]
The following is a DFT calculation (PBE) of an optimized crystal structure of RbPbN2F.

Cell: 4.639 4.639 4.962 Å, 90.00 90.00 90.00°
Space group P4/mmm (No. 123)
Inequivalent atoms, fractional coordinates:
Rb 0.000 0.000 0.000 [1 per cell]
Pb 0.500 0.500 0.500 [1 per cell]
N 0.000 0.500 0.500 [2 per cell]
F 0.500 0.500 0.000 [1 per cell]

**ΔE to the lowest computed polymorph**: 0.000 eV/atom
**Energy relative to the elements, uncorrected**: 0.307 eV per atom
**Total DFT energy (no corrections)**: -21.67 eV/cell
**DOS(E_F)**: 1.88 states/eV/cell
**Total moment**: 0.500 μB per atom

---

[2]
The following is a DFT calculation (PBE) of an optimized crystal structure of Er6ThSc2.

Cell: 8.875 17.172 3.535 Å, 90.00 100.02 90.00°
Space group C2/m (No. 12)
Inequivalent atoms, fractional coordinates:
Er 0.165 0.000 0.325 [4 per cell]
Er 0.171 0.169 0.819 [8 per cell]
Th 0.000 0.500 0.000 [2 per cell]
Sc 0.000 0.336 0.500 [4 per cell]

**Energy of formation**: 12.7 kJ per mole of atoms
**ΔE to the lowest computed polymorph**: 0.000 eV/atom
**Total DFT energy (no corrections)**: -92.54 eV/cell
**DOS(E_F)**: 31.02 states/eV/cell
**Total moment**: 0.000 μB per atom